RbTi2SiO | Alexandria | PBE | relaxed; space-group type = P4/mmm, No. 123; calculated density = 3.50 Mg/m³; ΔE_f (raw) = 1717 meV/atom; uncorrected energy = -18.55 eV per cell; crystal system = tetragonal
1.0
5.066 0.000 0.000
0.000 4.158 0.000
0.000 0.000 5.066
Si O Rb Ti
1 1 1 2
direct
0.500 0.500 0.500
0.000 0.500 0.000
0.000 0.000 0.000
0.000 0.000 0.500
0.500 0.000 0.000